The following is a PBE calculation of crystalline MnIn2Pb at its relaxed geometry, from Alexandria via LeMat-Bulk.

Results
Crystal system: trigonal
N(E_F) in states/eV/f.u.: 3.3
DFT formation energy in meV/atom: 260

a = 10.401 Å, b = 10.401 Å, c = 10.401 Å
α = 18.47°, β = 18.47°, γ = 18.47°
Each line ends with the local moment (μB).
Sites, in units of the cell vectors:
1 In 0.987 0.987 0.987  0.01
2 In 0.513 0.513 0.513  0.01
3 Mn 0.250 0.250 0.250  3.80
4 Pb 0.750 0.750 0.750  0.05